1.
8
Lattice="4.829 0.000 0.000 0.000 4.829 0.000 2.415 2.415 6.741" Properties=species:S:1:pos:R:3 comment="RbGeB2 | Alexandria | GGA-PBE | optimized geometry" crystal_system=tetragonal rho_g_cm3=3.80 m_tot_mub_per_atom=0.000 delta_e_f_mev_per_atom=1011 pbc="T T T"
B 6.036 4.829 5.056
Ge 2.415 4.829 3.370
Ge 2.415 2.415 0.000
B 2.414 3.622 1.685
Rb 0.000 0.000 0.000
B 2.415 1.207 1.685
Rb 4.829 2.415 3.370
B 3.622 4.829 5.056



2.
6
Lattice="-1.677 1.774 3.927 -2.576 0.039 -3.840 -2.530 -6.012 1.636" Properties=species:S:1:pos:R:3 comment="RbGeB | Alexandria | GGA-PBE | optimized geometry" crystal_system=hexagonal rho_g_cm3=4.50 m_tot_mub_per_atom=0.000 delta_e_f_mev_per_atom=1162 pbc="T T T"
Rb -1.867 -4.437 1.208
Ge -3.405 -2.065 -0.521
Ge -4.370 -4.492 2.886
B -2.443 0.221 -1.143
Rb -0.602 -1.431 0.389
B -3.408 -2.206 2.264



3.
6
Lattice="1.908 4.869 1.169 -5.063 1.503 -0.905 -1.399 -0.951 6.244" Properties=species:S:1:pos:R:3 comment="RbGeB | Alexandria | GGA-PBE | optimized geometry" crystal_system=orthorhombic rho_g_cm3=3.04 m_tot_mub_per_atom=0.000 delta_e_f_mev_per_atom=556 pbc="T T T"
B -1.578 3.186 0.132
Ge -0.989 3.401 1.972
Rb -0.113 3.686 5.563
Ge -3.564 2.020 4.536
Rb -4.441 1.734 0.945
B -2.277 2.710 3.254



4.
12
Lattice="-6.101 1.147 4.229 -0.364 -3.664 0.469 6.156 0.510 8.743" Properties=species:S:1:pos:R:3 comment="RbGeB | Alexandria | GGA-PBE | optimized geometry" crystal_system=orthorhombic rho_g_cm3=3.76 m_tot_mub_per_atom=0.000 delta_e_f_mev_per_atom=454 pbc="T T T"
B 0.997 -2.062 6.687
Rb 4.182 -0.553 6.255
Rb 1.755 0.072 9.254
B 0.353 -1.289 12.219
B -0.661 -0.718 1.223
Rb -4.490 -1.453 7.187
Ge -0.968 -1.728 7.773
Ge 0.661 -0.279 5.669
Ge -5.058 0.074 3.994
Rb -2.063 -2.079 4.187
B -1.305 0.055 6.754
Ge 4.750 -2.081 9.448



5.
5
Lattice="-3.415 3.584 2.813 -3.123 -4.401 1.816 3.317 -0.453 4.605" Properties=species:S:1:pos:R:3 comment="RbGe3B | Alexandria | GGA-PBE | optimized geometry" crystal_system=cubic rho_g_cm3=2.83 m_tot_mub_per_atom=0.000 delta_e_f_mev_per_atom=2572 e_above_lowest_polymorph_ev_per_fu=9.17 pbc="T T T"
Rb 0.000 0.000 0.000
Ge 1.659 -0.227 2.303
B -1.610 -0.635 4.617
Ge -1.708 1.792 1.406
Ge -1.561 -2.201 0.908



6.
6
Lattice="3.655 0.000 0.000 0.000 10.620 0.000 0.000 0.000 4.453" Properties=species:S:1:pos:R:3 comment="RbGeB | Alexandria | GGA-PBE | optimized geometry" crystal_system=orthorhombic rho_g_cm3=3.25 m_tot_mub_per_atom=0.000 delta_e_f_mev_per_atom=531 pbc="T T T"
Ge 1.828 4.520 2.227
B 1.828 4.932 0.000
Rb 1.828 8.262 2.227
B 0.000 5.689 2.227
Ge 0.000 6.100 0.000
Rb 0.000 2.358 0.000



7.
12
Lattice="-3.169 4.096 1.208 -4.125 -2.547 -2.186 -2.791 -5.656 11.855" Properties=species:S:1:pos:R:3 comment="RbGeB | Alexandria | GGA-PBE | optimized geometry" crystal_system=tetragonal rho_g_cm3=2.95 m_tot_mub_per_atom=0.000 delta_e_f_mev_per_atom=548 pbc="T T T"
B -4.070 -0.448 0.730
Ge -3.575 -1.634 2.181
Ge -4.648 0.156 -1.020
Rb -3.068 1.649 3.867
Rb -4.480 -4.732 4.293
Rb -1.040 -0.642 -0.551
B -5.317 -2.245 7.183
Rb -2.892 -3.209 9.196
B -6.654 -4.054 9.808
Ge -6.509 -2.473 8.695
Ge -4.041 -1.435 5.969
B -4.128 -1.466 4.032



8.
6
Lattice="-6.655 4.448 2.048 2.152 -7.892 1.161 1.571 0.894 3.164" Properties=species:S:1:pos:R:3 comment="RbGeB | Alexandria | GGA-PBE | optimized geometry" crystal_system=orthorhombic rho_g_cm3=3.11 m_tot_mub_per_atom=0.000 delta_e_f_mev_per_atom=599 pbc="T T T"
B -4.252 3.401 4.297
B 1.320 -5.952 2.075
Ge -5.418 3.488 2.754
Rb -3.305 0.528 2.541
Rb 0.373 -3.079 3.832
Ge 2.486 -6.039 3.619



What is the formula in the second record?
RbGeB